Record 1
Here is LiRe2W at its PBEsol-relaxed geometry from the Alexandria database. Energies are from meta-GGA SCAN.

- Magnetization: 0.000 μB/cell
- Polymorph energy (0 for the lowest one): 0 meV/atom
- DFT total energy: -53.27 eV/atom

Structure (POSCAR):
```
LiRe2W
1.0
2.618 0.000 0.000
-1.309 4.398 -0.003
0.000 -0.309 5.004
Re Li W
2 1 1
Cartesian
0.000 2.141 1.187
1.309 1.949 3.814
1.309 0.000 0.000
0.000 -0.154 2.502
```

Record 2
Here is LiReW2 at its PBEsol-relaxed geometry from the Alexandria database. Energies are from meta-GGA SCAN.

- Magnetization: 0.000 μB/cell
- Polymorph energy (0 for the lowest one): 81 meV/atom
- DFT total energy: -52.87 eV/atom

Structure (POSCAR):
```
LiReW2
1.0
-2.181 -0.533 2.113
-1.976 -2.774 -2.739
4.446 -1.629 1.929
W Li Re
2 1 1
Cartesian
1.236 -1.713 0.843
-0.946 -3.223 0.459
-1.090 -0.266 1.056
-0.988 -1.387 -1.370
```

Record 3
Here is LiReW2 at its PBEsol-relaxed geometry from the Alexandria database. Energies are from meta-GGA SCAN.

- Magnetization: 0.000 μB/cell
- Polymorph energy (0 for the lowest one): 0 meV/atom
- DFT total energy: -52.95 eV/atom

Structure (POSCAR):
```
LiReW2
1.0
2.631 0.000 0.001
-0.877 5.063 0.000
-0.877 -2.509 4.397
Li W Re
1 2 1
Cartesian
1.316 0.000 0.000
-0.438 2.531 0.000
-0.438 -1.254 2.199
0.439 1.277 2.199
```

Record 4
Here is Li2ReW2 at its PBEsol-relaxed geometry from the Alexandria database. Energies are from meta-GGA SCAN.

- Magnetization: 0.000 μB/cell
- DFT total energy: -42.15 eV/atom

Structure (POSCAR):
```
Li2ReW2
1.0
-0.731 3.111 1.741
0.801 -1.589 3.175
4.694 0.628 -2.955
W Re Li
2 1 2
Cartesian
1.999 2.250 0.622
2.765 -0.100 1.339
0.000 0.000 0.000
0.799 0.986 2.378
3.964 1.165 -0.417
```

Record 5
Here is LiYRe at its PBEsol-relaxed geometry from the Alexandria database. Energies are from meta-GGA SCAN.

- Magnetization: 2.589 μB/cell
- Polymorph energy (0 for the lowest one): 1120 meV/atom
- DFT total energy: -32.29 eV/atom

Structure (POSCAR):
```
LiYRe
1.0
4.564 0.000 0.000
2.282 3.953 0.000
2.282 1.318 3.727
Li Re Y
1 1 1
Cartesian
0.000 0.000 0.000
4.564 2.635 1.863
2.282 1.318 0.932
```

Record 6
Here is LiYRe at its PBEsol-relaxed geometry from the Alexandria database. Energies are from meta-GGA SCAN.

- Magnetization: 0.000 μB/cell
- Polymorph energy (0 for the lowest one): 0 meV/atom
- DFT total energy: -33.41 eV/atom

Structure (POSCAR):
```
LiYRe
1.0
-1.863 1.861 -0.797
-2.428 -3.394 -2.249
-0.955 0.987 4.538
Re Y Li
1 1 1
Cartesian
-2.952 1.031 1.631
-2.538 -1.333 -0.244
-1.619 1.617 -0.693
```

Record 7
Here is LiYRe at its PBEsol-relaxed geometry from the Alexandria database. Energies are from meta-GGA SCAN.

- Magnetization: 0.000 μB/cell
- Polymorph energy (0 for the lowest one): 183 meV/atom
- DFT total energy: -33.23 eV/atom

Structure (POSCAR):
```
LiYRe
1.0
-0.819 1.736 2.102
0.093 -2.693 0.916
7.430 1.400 0.484
Y Re Li
1 1 1
Cartesian
4.477 0.584 1.263
1.954 -0.177 2.163
0.272 0.036 0.077
```

Record 8
Here is LiYRe2 at its PBEsol-relaxed geometry from the Alexandria database. Energies are from meta-GGA SCAN.

- Magnetization: 0.000 μB/cell
- Polymorph energy (0 for the lowest one): 216 meV/atom
- DFT total energy: -42.64 eV/atom

Structure (POSCAR):
```
LiYRe2
1.0
2.782 -0.002 0.000
-1.041 2.580 0.000
0.000 0.000 9.741
Re Li Y
2 1 1
Cartesian
0.000 0.000 9.607
0.871 1.289 7.552
0.871 1.289 2.096
0.000 0.000 5.098
```